Record 1
# Rb2TbGaO4

A relaxed Rb2TbGaO4 crystal (GGA-PBE, the Alexandria database).

DOS(E_F) = 0.00 states/eV/cell
E_form (uncorrected) = -1.91 eV per atom

a b c (Å): 5.5775 6.9497 11.6555
angles (deg): 84.49 76.16 66.34
Last column: nearest neighbours and their distance in Å.
Fractional coordinates of all 16 atoms:
O 0.9015 0.6790 0.5821  1 Ga 1.91
O 0.8485 0.8210 0.9179  1 Ga 1.91
O 0.3306 0.8210 0.0821  1 Ga 1.91
O 0.5873 0.1790 0.0821  1 Ga 1.91
O 0.2336 0.1790 0.9179  1 Ga 1.91
O 0.4194 0.6790 0.4179  1 Ga 1.91
O 0.1627 0.3210 0.4179  1 Ga 1.91
O 0.5164 0.3210 0.5821  1 Ga 1.91
Ga 0.2500 0.5000 0.5000  4 O 1.91
Ga 0.5000 0.0000 0.0000  4 O 1.91
Tb 0.0000 0.0000 0.0000  4 O 2.15
Tb 0.7500 0.5000 0.5000  4 O 2.15
Rb 0.8141 0.0000 0.3718  4 O 3.14-3.36
Rb 0.9359 0.5000 0.1282  4 O 3.14-3.36
Rb 0.5641 0.5000 0.8718  4 O 3.14-3.36
Rb 0.1859 0.0000 0.6282  4 O 3.14-3.36

---

Record 2
# Rb4Tb3GaO8

A relaxed Rb4Tb3GaO8 crystal (GGA-PBE, the Alexandria database).

DOS(E_F) = 0.00 states/eV/cell
E_form (uncorrected) = -2.33 eV per atom

a b c (Å): 6.8947 7.6530 6.8970
angles (deg): 116.78 119.99 90.00
Last column: nearest neighbours and their distance in Å.
Fractional coordinates of all 16 atoms:
O 0.2158 0.6735 0.4316  1 Ga 2.20, 2 Tb 2.34
O 0.7254 0.6764 0.4508  3 Tb 2.30
O 0.2573 0.3271 0.0422  1 Ga 2.19, 2 Tb 2.34
O 0.7849 0.3271 0.0422  1 Ga 2.19, 2 Tb 2.34
O 0.7427 0.6729 0.9578  1 Ga 2.19, 2 Tb 2.34
O 0.2746 0.3236 0.5492  3 Tb 2.30
O 0.7842 0.3265 0.5684  1 Ga 2.20, 2 Tb 2.34
O 0.2151 0.6729 0.9578  1 Ga 2.19, 2 Tb 2.34
Tb 0.0000 0.5000 0.5000  6 O 2.30-2.34
Tb 0.5000 0.5000 0.0000  6 O 2.30-2.34
Tb 0.5000 0.5000 0.5000  6 O 2.30-2.34
Rb 0.5000 0.0000 0.0000  6 O 2.99-3.00
Rb 0.5000 0.0000 0.5000  6 O 2.88-2.90
Rb 0.0000 0.0000 0.5000  6 O 2.88-2.90
Rb 0.0000 0.0000 0.0000  6 O 2.89-2.91
Ga 0.0000 0.5000 0.0000  6 O 2.19-2.20

---

Record 3
# Rb3TbGa2O6

A relaxed Rb3TbGa2O6 crystal (GGA-PBE, the Alexandria database).

DOS(E_F) = 0.00 states/eV/cell
E_form (uncorrected) = -1.98 eV per atom

a b c (Å): 6.2068 6.2068 7.4352
angles (deg): 90.00 90.00 120.00
Last column: nearest neighbours and their distance in Å.
Fractional coordinates of all 12 atoms:
Tb 0.0000 0.0000 0.5000  6 O 2.31
Ga 0.6667 0.3333 0.6942  3 O 1.79
Ga 0.3333 0.6667 0.3058  3 O 1.79
O 0.3341 0.1671 0.6951  1 Ga 1.79
O 0.1670 0.3341 0.3049  1 Ga 1.79
O 0.1670 0.8329 0.3049  1 Ga 1.79
O 0.8330 0.1671 0.6951  1 Ga 1.79
O 0.8330 0.6659 0.6951  1 Ga 1.79
O 0.6659 0.8329 0.3049  1 Ga 1.79
Rb 0.6667 0.3333 0.2504  6 O 3.13, 1 Ga 3.30
Rb 0.0000 0.0000 0.0000  6 O 2.89
Rb 0.3333 0.6667 0.7496  6 O 3.13, 1 Ga 3.30

---

Record 4
# RbGaTc2O8

A relaxed RbGaTc2O8 crystal (GGA-PBE, the Alexandria database).

DOS(E_F) = 9.06 states/eV/cell
E_form (uncorrected) = -1.48 eV per atom

a b c (Å): 5.3841 5.3841 8.3053
angles (deg): 90.00 90.00 120.00
Last column: nearest neighbours and their distance in Å.
Fractional coordinates of all 12 atoms:
O 0.3208 0.2691 0.3571  1 Tc 1.80, 1 Ga 2.00
O 0.6667 0.3333 0.0799  1 Tc 1.75
O 0.0517 0.3208 0.6429  1 Tc 1.80, 1 Ga 2.00
O 0.3333 0.6667 0.9201  1 Tc 1.75
O 0.9483 0.6792 0.3571  1 Tc 1.80, 1 Ga 2.00
O 0.2691 0.9483 0.6429  1 Tc 1.80, 1 Ga 2.00
O 0.7309 0.0517 0.3571  1 Tc 1.80, 1 Ga 2.00
O 0.6792 0.7309 0.6429  1 Tc 1.80, 1 Ga 2.00
Tc 0.6667 0.3333 0.2904  4 O 1.75-1.80
Tc 0.3333 0.6667 0.7096  4 O 1.75-1.80
Ga 0.0000 0.0000 0.5000  6 O 2.00
Rb 0.0000 0.0000 0.0000  12 O 3.18-3.37

---

Record 5
# RbGaTe2O8

A relaxed RbGaTe2O8 crystal (GGA-PBE, the Alexandria database).

DOS(E_F) = 0.00 states/eV/cell
E_form (uncorrected) = -1.15 eV per atom

a b c (Å): 5.2559 5.2559 9.0783
angles (deg): 90.00 90.00 120.00
Last column: nearest neighbours and their distance in Å.
Fractional coordinates of all 12 atoms:
O 0.3333 0.6667 0.8927  1 Te 1.82
O 0.2950 0.9836 0.6311  1 Te 1.86, 1 Ga 1.99
O 0.6886 0.7050 0.6311  1 Te 1.86, 1 Ga 1.99
O 0.3114 0.2950 0.3689  1 Te 1.86, 1 Ga 1.99
O 0.6667 0.3333 0.1073  1 Te 1.82
O 0.7050 0.0164 0.3689  1 Te 1.86, 1 Ga 1.99
O 0.0164 0.3114 0.6311  1 Te 1.86, 1 Ga 1.99
O 0.9836 0.6886 0.3689  1 Te 1.86, 1 Ga 1.99
Ga 0.0000 0.0000 0.5000  6 O 1.99
Te 0.3333 0.6667 0.6921  4 O 1.82-1.86
Te 0.6667 0.3333 0.3079  4 O 1.82-1.86
Rb 0.0000 0.0000 0.0000  6 O 3.19

---

Record 6
# RbGaTe2O6

A relaxed RbGaTe2O6 crystal (GGA-PBE, the Alexandria database).

DOS(E_F) = 0.00 states/eV/cell
E_form (uncorrected) = -1.36 eV per atom

a b c (Å): 7.7225 7.9296 7.9296
angles (deg): 104.77 73.06 73.06
Last column: nearest neighbours and their distance in Å.
Fractional coordinates of all 20 atoms:
Ga 0.7500 0.7890 0.2110  4 O 1.84-1.87
Ga 0.2500 0.2110 0.7890  4 O 1.84-1.87
O 0.7966 0.0121 0.2488  1 Ga 1.87, 1 Te 1.95
O 0.0078 0.3273 0.3670  1 Te 1.87
O 0.5078 0.3670 0.3273  1 Te 1.87
O 0.4922 0.6330 0.6727  1 Te 1.87
O 0.4851 0.1901 0.6229  1 Ga 1.84, 1 Te 1.91
O 0.5149 0.8099 0.3771  1 Ga 1.84, 1 Te 1.91
O 0.9922 0.6727 0.6330  1 Te 1.87
O 0.0149 0.3771 0.8099  1 Ga 1.84, 1 Te 1.91
O 0.9851 0.6229 0.1901  1 Ga 1.84, 1 Te 1.91
O 0.2034 0.9879 0.7512  1 Ga 1.87, 1 Te 1.95
O 0.7034 0.7512 0.9879  1 Ga 1.87, 1 Te 1.95
O 0.2966 0.2488 0.0121  1 Ga 1.87, 1 Te 1.95
Te 0.3453 0.7380 0.5472  3 O 1.87-1.95
Te 0.8453 0.5472 0.7380  3 O 1.87-1.95
Te 0.6547 0.2620 0.4528  3 O 1.87-1.95
Te 0.1547 0.4528 0.2620  3 O 1.87-1.95
Rb 0.7500 0.0953 0.9047  6 O 3.06-3.12
Rb 0.2500 0.9047 0.0953  6 O 3.06-3.12

---

Record 7
# RbTiGaO4

A relaxed RbTiGaO4 crystal (GGA-PBE, the Alexandria database).

DOS(E_F) = 0.00 states/eV/cell
E_form (uncorrected) = -2.20 eV per atom

a b c (Å): 5.8464 5.4474 10.0481
angles (deg): 90.00 134.01 90.00
Last column: nearest neighbours and their distance in Å.
Fractional coordinates of all 14 atoms:
O 0.0320 0.0118 0.6406  1 Ti 1.94, 2 Ga 1.97-2.05
O 0.6164 0.2500 0.7367  1 Ti 1.89, 1 Ga 1.90
O 0.5888 0.7500 0.6152  1 Ti 1.70
O 0.9680 0.9882 0.3594  1 Ti 1.94, 2 Ga 1.97-2.05
O 0.0320 0.4882 0.6406  1 Ti 1.94, 2 Ga 1.97-2.05
O 0.9680 0.5118 0.3594  1 Ti 1.94, 2 Ga 1.97-2.05
O 0.3836 0.7500 0.2633  1 Ti 1.89, 1 Ga 1.90
O 0.4112 0.2500 0.3848  1 Ti 1.70
Ga 0.1660 0.2500 0.5467  5 O 1.90-2.05
Ga 0.8340 0.7500 0.4533  5 O 1.90-2.05
Ti 0.7547 0.2500 0.6136  2 O 1.70-1.89
Ti 0.2453 0.7500 0.3864  2 O 1.70-1.89
Rb 0.3596 0.2500 0.0996  3 O 2.66-2.93
Rb 0.6404 0.7500 0.9004  3 O 2.66-2.93

---

Record 8
# RbTm3Ga4O12

A relaxed RbTm3Ga4O12 crystal (GGA-PBE, the Alexandria database).

DOS(E_F) = 13.70 states/eV/cell
E_form (uncorrected) = -2.19 eV per atom

a b c (Å): 7.2559 7.2559 7.2559
angles (deg): 108.30 108.30 108.30
Last column: nearest neighbours and their distance in Å.
Fractional coordinates of all 20 atoms:
O 0.6530 0.5000 0.3470  1 Ga 1.80
O 0.0960 0.9040 0.5000  1 Ga 1.81
O 0.0807 0.6499 0.7859  1 Ga 1.81
O 0.5000 0.3470 0.6530  1 Ga 1.80
O 0.6499 0.7859 0.0807  1 Ga 1.81
O 0.9040 0.5000 0.0960  1 Ga 1.81
O 0.3470 0.6530 0.5000  1 Ga 1.80
O 0.9193 0.2141 0.3501  1 Ga 1.81
O 0.3501 0.9193 0.2141  1 Ga 1.81
O 0.5000 0.0960 0.9040  1 Ga 1.81
O 0.2141 0.3501 0.9193  1 Ga 1.81
O 0.7859 0.0807 0.6499  1 Ga 1.81
Tm 0.0000 0.5551 0.4449  6 O 2.17-2.27
Tm 0.5551 0.4449 0.0000  6 O 2.17-2.27
Tm 0.4449 0.0000 0.5551  6 O 2.17-2.27
Rb 0.0000 0.0000 0.0000  6 O 2.87
Ga 0.5000 0.9423 0.0577  3 O 1.81
Ga 0.5000 0.5000 0.5000  3 O 1.80
Ga 0.0577 0.5000 0.9423  3 O 1.81
Ga 0.9423 0.0577 0.5000  3 O 1.81

---

Record 9
# Rb4Tm3GaO8

A relaxed Rb4Tm3GaO8 crystal (GGA-PBE, the Alexandria database).

DOS(E_F) = 0.00 states/eV/cell
E_form (uncorrected) = -2.40 eV per atom

a b c (Å): 6.7651 7.5930 6.7671
angles (deg): 116.47 119.99 90.00
Last column: nearest neighbours and their distance in Å.
Fractional coordinates of all 16 atoms:
Rb 0.0000 0.0000 0.5000  6 O 2.87-2.89
Rb 0.5000 0.0000 0.0000  6 O 2.95-2.96
Rb 0.0000 0.0000 0.0000  6 O 2.87-2.89
Rb 0.5000 0.0000 0.5000  6 O 2.87-2.89
O 0.7834 0.3290 0.0456  1 Ga 2.18, 2 Tm 2.29
O 0.2622 0.3290 0.0456  1 Ga 2.18, 2 Tm 2.29
O 0.7378 0.6710 0.9544  1 Ga 2.18, 2 Tm 2.29
O 0.7828 0.3285 0.5656  1 Ga 2.18, 2 Tm 2.28
O 0.2172 0.6715 0.4344  1 Ga 2.18, 2 Tm 2.28
O 0.2166 0.6710 0.9544  1 Ga 2.18, 2 Tm 2.29
O 0.2758 0.3272 0.5515  3 Tm 2.25
O 0.7242 0.6728 0.4485  3 Tm 2.25
Tm 0.5000 0.5000 0.0000  6 O 2.25-2.29
Tm 0.0000 0.5000 0.5000  6 O 2.25-2.29
Tm 0.5000 0.5000 0.5000  6 O 2.25-2.29
Ga 0.0000 0.5000 0.0000  6 O 2.18

---

Record 10
# RbUGaO5

A relaxed RbUGaO5 crystal (GGA-PBE, the Alexandria database).

DOS(E_F) = 0.00 states/eV/cell
E_form (uncorrected) = -2.49 eV per atom

a b c (Å): 6.2112 6.2112 8.1357
angles (deg): 105.72 105.72 105.04
Last column: nearest neighbours and their distance in Å.
Fractional coordinates of all 16 atoms:
Ga 0.3097 0.6903 0.7500  4 O 1.88-1.89
Ga 0.6903 0.3097 0.2500  4 O 1.88-1.89
O 0.3623 0.2171 0.1100  1 Ga 1.89, 1 U 2.09
O 0.1178 0.7262 0.8919  1 Ga 1.88, 1 U 2.09
O 0.6377 0.7829 0.8900  1 Ga 1.89, 1 U 2.09
O 0.2171 0.3623 0.6100  1 Ga 1.89, 1 U 2.09
O 0.8822 0.2738 0.1081  1 Ga 1.88, 1 U 2.09
O 0.9452 0.0548 0.7500  2 U 2.10
O 0.7829 0.6377 0.3900  1 Ga 1.89, 1 U 2.09
O 0.2738 0.8822 0.6081  1 Ga 1.88, 1 U 2.09
O 0.7262 0.1178 0.3919  1 Ga 1.88, 1 U 2.09
O 0.0548 0.9452 0.2500  2 U 2.10
Rb 0.3318 0.6682 0.2500  7 O 2.73-3.02
Rb 0.6682 0.3318 0.7500  7 O 2.73-3.02
U 0.0000 0.0000 0.0000  6 O 2.09-2.10
U 0.0000 0.0000 0.5000  6 O 2.09-2.10

---

Record 11
# RbUGa2O8

A relaxed RbUGa2O8 crystal (GGA-PBE, the Alexandria database).

E_form (uncorrected) = -1.89 eV per atom

a b c (Å): 4.8596 4.8950 7.8707
angles (deg): 91.59 89.89 84.80
Last column: nearest neighbours and their distance in Å.
Fractional coordinates of all 12 atoms:
O 0.5187 0.6005 0.4453  1 O 1.35
O 0.3062 0.3044 0.0011  2 Ga 1.95-1.97
O 0.4813 0.3995 0.5547  1 O 1.35
O 0.2129 0.7812 0.8038  1 Ga 1.89, 1 U 2.07
O 0.6938 0.6956 0.9989  2 Ga 1.95-1.97
O 0.7871 0.2188 0.1962  1 Ga 1.89, 1 U 2.07
O 0.2085 0.7925 0.1901  1 Ga 1.91, 1 U 2.05
O 0.7915 0.2075 0.8099  1 Ga 1.91, 1 U 2.05
Rb 0.0000 0.0000 0.5000  6 O 2.77-3.07
Ga 0.5047 0.5078 0.1733  4 O 1.89-1.97
Ga 0.4953 0.4922 0.8267  4 O 1.89-1.97
U 0.0000 0.0000 0.0000  6 O 2.05-2.20

---

Record 12
# RbU2GaO8

A relaxed RbU2GaO8 crystal (GGA-PBE, the Alexandria database).

DOS(E_F) = 0.00 states/eV/cell
E_form (uncorrected) = -2.52 eV per atom

a b c (Å): 5.1341 5.1311 7.1556
angles (deg): 87.85 87.86 82.64
Last column: nearest neighbours and their distance in Å.
Fractional coordinates of all 12 atoms:
U 0.4935 0.4936 0.7615  4 O 1.99-2.03
U 0.5065 0.5064 0.2385  4 O 1.99-2.03
O 0.3465 0.3455 0.4658  1 U 1.99
O 0.7847 0.1981 0.1909  1 Ga 1.96, 1 U 2.02
O 0.6741 0.6747 0.0112  1 U 2.03
O 0.6535 0.6545 0.5342  1 U 1.99
O 0.2153 0.8019 0.8091  1 Ga 1.96, 1 U 2.02
O 0.3259 0.3253 0.9888  1 U 2.03
O 0.1976 0.7841 0.1910  1 Ga 1.96, 1 U 2.02
O 0.8024 0.2159 0.8090  1 Ga 1.96, 1 U 2.02
Ga 0.0000 0.0000 0.0000  4 O 1.96
Rb 0.0000 0.0000 0.5000  6 O 2.62-2.67

---

The calculation returns the following E_tot values, one per record and in order: -5.59 -6.11 -5.59 -6.85 -5.31 -5.36 -6.73 -6.48 -6.15 -7.50 -6.72 -8.04 eV per atom.